VASP calculation (GGA+U) on LiFePO4 after structural relaxation.

Cell lengths 5.1175, 10.1999, 13.7397 Å; angles 90.00, 90.00, 90.00 degrees
Last column: magnetic moment on the atom in μB.
Fractional coordinates of all 56 atoms:
Fe1 0.5486 0.2849 0.4994  3.78
O1 0.1422 0.4977 0.1195  0.03
O2 0.3397 0.2444 0.8743  0.03
Fe2 0.4514 0.7151 0.9994  3.78
O3 0.0881 0.7178 0.4641  0.03
Fe3 0.5486 0.2151 0.9994  3.78
O4 0.0235 0.5709 0.8731  0.03
O5 0.4279 0.0293 0.0323  0.03
Fe4 0.9454 0.9707 0.7461  3.75
Li1 0.4570 0.7813 0.7512  0.00
O6 0.9259 0.2168 0.2782  0.02
O7 0.4279 0.4707 0.5323  0.03
P1 0.0397 0.2204 0.8720  0.01
P2 0.5592 0.9678 0.1241  0.01
Fe5 0.9454 0.5293 0.2461  3.75
P3 0.4408 0.4678 0.1241  0.01
P4 0.4408 0.0322 0.6241  0.01
Li2 0.0663 0.5284 0.4964  0.00
O8 0.3397 0.2556 0.3743  0.03
O9 0.4968 0.1817 0.6256  0.03
Fe6 0.0546 0.4707 0.7461  3.75
O10 0.0741 0.7832 0.7782  0.02
O11 0.0881 0.7822 0.9641  0.03
O12 0.4483 0.0321 0.2181  0.03
Li3 0.5430 0.2813 0.7512  0.00
Li4 0.9337 0.0284 0.4964  0.00
O13 0.6603 0.7556 0.3743  0.03
O14 0.4483 0.4679 0.7181  0.03
P5 0.9603 0.7204 0.8720  0.01
O15 0.5032 0.6817 0.6256  0.03
O16 0.9259 0.2832 0.7782  0.02
O17 0.6603 0.7444 0.8743  0.03
Li5 0.4570 0.7187 0.2512  0.00
O18 0.8578 0.9977 0.1195  0.03
Li6 0.5430 0.2187 0.2512  0.00
P6 0.0397 0.2796 0.3720  0.01
O19 0.4968 0.3183 0.1256  0.03
O20 0.9119 0.2178 0.4641  0.03
O21 0.9119 0.2822 0.9641  0.03
Fe7 0.4514 0.7849 0.4994  3.78
O22 0.9765 0.4291 0.3731  0.03
O23 0.8578 0.5023 0.6195  0.03
P7 0.5592 0.5322 0.6241  0.01
O24 0.0741 0.7168 0.2782  0.02
O25 0.5721 0.9707 0.5323  0.03
Fe8 0.0546 0.0293 0.2461  3.75
O26 0.0235 0.9291 0.3731  0.03
O27 0.9765 0.0709 0.8731  0.03
Li7 0.0663 0.9716 0.9964  0.00
O28 0.5721 0.5293 0.0323  0.03
Li8 0.9337 0.4716 0.9964  0.00
O29 0.5517 0.5321 0.2181  0.03
O30 0.5032 0.8183 0.1256  0.03
P8 0.9603 0.7796 0.3720  0.01
O31 0.1422 0.0023 0.6195  0.03
O32 0.5517 0.9679 0.7181  0.03

Properties
Magnetization in μB per atom: 0.571
Space group: Pca2_1, No. 29
Total DFT energy (no corrections) in eV/atom: -6.82